A plane-wave DFT calculation with PBE-GGA was carried out for an optimized crystal structure of La5Se4Br.

a b c (Å): 17.814 17.814 17.814
angles (deg): 13.91 13.91 13.91
Fractional coordinates of all 10 atoms:
La  0.000  0.000  0.000
La  0.202  0.202  0.202
La  0.400  0.400  0.400
La  0.600  0.600  0.600
La  0.798  0.798  0.798
Se  0.100  0.100  0.100
Se  0.300  0.300  0.300
Se  0.700  0.700  0.700
Se  0.900  0.900  0.900
Br  0.500  0.500  0.500

Computed properties:
Total DFT energy (no corrections) ... -58.83 eV/cell
ΔE_f (raw) ... -1.86 eV per atom
Space group ... R-3m (166)
Theoretical density ... 6.4 g/cm³